Record 1
A relaxed structure of KLaY2, computed with PBE. Values from VASP.

Output
Its space group is No. 44. The value obtained for the spin magnetization is 0.14 μB per formula unit. The energy of formation comes out at 0.42 eV per atom.

Structure (Quantum ESPRESSO input):
```
&SYSTEM
  ibrav = 0, nat = 4, ntyp = 3
/
ATOMIC_SPECIES
K 39.10 K.upf
La 138.91 La.upf
Y 88.91 Y.upf
CELL_PARAMETERS angstrom
-1.9085 3.1792 6.3210
1.9085 -3.1792 6.3210
1.9085 3.1792 -6.3210
ATOMIC_POSITIONS crystal
K 0.0000 0.0000 0.0000
La 0.2694 0.7694 0.5000
Y 0.5134 0.5134 0.0000
Y 0.7424 0.2424 0.5000
```

=====

Record 2
A relaxed structure of KYHf, computed with PBE. Values from VASP.

Output
Its space group is No. 6. The value obtained for the spin magnetization is 0.17 μB per formula unit. The energy of formation comes out at 0.42 eV per atom.

Structure (Quantum ESPRESSO input):
```
&SYSTEM
  ibrav = 0, nat = 6, ntyp = 3
/
ATOMIC_SPECIES
K 39.10 K.upf
Y 88.91 Y.upf
Hf 178.49 Hf.upf
CELL_PARAMETERS angstrom
3.3925 0.0000 0.0000
0.0000 5.1823 0.0000
-1.6569 0.0000 12.8846
ATOMIC_POSITIONS crystal
K 0.0000 0.0000 0.0000
K 0.3582 0.5000 0.7325
Y 0.1549 0.0000 0.3196
Y 0.6063 0.5000 0.2198
Hf 0.2194 0.5000 0.4518
Hf 0.7565 0.0000 0.5276
```

=====

Record 3
A relaxed structure of MnHgN3, computed with PBE. Values from VASP.

Output
Its space group is No. 221. The formation energy from raw total energies comes out at 3.123 eV/atom. The value obtained for the spin magnetization is 0.32 μB per formula unit.

Structure (Quantum ESPRESSO input):
```
&SYSTEM
  ibrav = 0, nat = 5, ntyp = 3
/
ATOMIC_SPECIES
Mn 54.94 Mn.upf
Hg 200.59 Hg.upf
N 14.01 N.upf
CELL_PARAMETERS angstrom
4.0859 0.0000 0.0000
0.0000 4.0859 0.0000
0.0000 0.0000 4.0859
ATOMIC_POSITIONS crystal
Mn 0.0000 0.0000 0.0000
Hg 0.5000 0.5000 0.5000
N 0.0000 0.5000 0.5000
N 0.5000 0.0000 0.5000
N 0.5000 0.5000 0.0000
```